LiErIn5 PBE optimized geometry; symmetry = P4/mmm; calculated formation energy = -0.207 eV/atom; mass density = 7.33 Mg/m³; DOS at the Fermi energy = 4.28 states/eV/cell
1.0
4.562 0.000 0.000
0.000 4.562 0.000
0.000 0.000 8.148
Li Er In
1 1 5
direct
0.000 0.000 0.000 Li
0.500 0.500 0.500 Er
0.000 0.000 0.500 In
0.000 0.500 0.202 In
0.000 0.500 0.798 In
0.500 0.000 0.202 In
0.500 0.000 0.798 In